Record 1
Crystalline Ba2LiRh at its relaxed geometry, computed with PBE-GGA.

Computed properties:
For the energy relative to the elements, the calculation gives 0.058 eV per atom. The calculation puts the density of states at the Fermi level at 0.50 states/eV per atom.

Cell lengths 7.724, 7.717, 4.169 Å; angles 90.00, 90.10, 90.00 degrees
Space group C2/m (No. 12)
Asymmetric unit:
Ba (0.250, 0.250, 0.000) [4 per cell]
Li (0.000, 0.000, 0.500) [2 per cell]
Rh (0.000, 0.500, 0.500) [2 per cell]



Record 2
Crystalline Er5Pd12Pb2 at its relaxed geometry, computed with PBE-GGA.

Computed properties:
For the energy relative to the elements, the calculation gives -0.728 eV per atom. The calculation puts the density of states at the Fermi level at 0.42 states/eV per atom.

Cell lengths 15.128, 7.104, 6.926 Å; angles 90.00, 93.63, 90.00 degrees
Space group C2/m (No. 12)
Asymmetric unit:
Er (0.000, 0.000, 0.000) [2 per cell]
Er (0.188, 0.500, 0.545) [4 per cell]
Er (0.246, 0.000, 0.936) [4 per cell]
Pd (0.055, 0.500, 0.182) [4 per cell]
Pd (0.110, 0.296, 0.858) [8 per cell]
Pd (0.141, 0.000, 0.595) [4 per cell]
Pd (0.161, 0.191, 0.245) [8 per cell]
Pb (0.000, 0.254, 0.500) [4 per cell]



Record 3
Crystalline Mg2SiSb at its relaxed geometry, computed with PBE-GGA.

Computed properties:
The formation energy (no corrections) comes out at 0.049 eV/atom. The calculation puts the density of states at the Fermi level at 0.36 states/eV per atom. The value obtained for the energy above the most stable polymorph in this dataset is 52 meV per atom.

Cell lengths 6.153, 7.798, 3.586 Å; angles 90.00, 90.00, 90.00 degrees
Space group Cmmm (No. 65)
Asymmetric unit:
Mg (0.250, 0.250, 0.000) [4 per cell]
Si (0.000, 0.000, 0.500) [2 per cell]
Sb (0.000, 0.500, 0.500) [2 per cell]



| no. | total magnetic moment (μB/f.u.) |
| --- | --- |
| 1 | 0.00 |
| 2 | 0.00 |
| 3 | 0.00 |